VASP calculation (PBE) on Ho3Zn9Ga2 after structural relaxation.

Calculated values
Total magnetization   0.00 μB/f.u.
Space group   Immm (71)
Mass density   8.05 Mg/m³
Energy   -2.586 eV per atom

POSCAR file:
```
Ho3Zn9Ga2
1.0
-4.146 -0.921 0.523
-0.159 -7.556 2.936
-1.279 0.353 7.999
Zn Ho Ga
9 3 2
direct
0.659 0.973 0.709 Zn
0.142 0.135 0.580 Zn
0.341 0.291 0.027 Zn
0.659 0.709 0.973 Zn
0.000 0.500 0.500 Zn
0.858 0.420 0.865 Zn
0.142 0.580 0.135 Zn
0.858 0.865 0.420 Zn
0.341 0.027 0.291 Zn
0.698 0.302 0.302 Ho
0.000 0.000 0.000 Ho
0.302 0.698 0.698 Ho
0.500 0.302 0.698 Ga
0.500 0.698 0.302 Ga
```